(1)
VASP calculation (PBE) on SmFe3P3 after structural relaxation.

```
SmFe3P3
1.0
6.3498 0.0000 0.0000
3.1749 5.4991 0.0000
3.1749 1.8330 6.5948
P Sm Fe
6 2 6
Direct
0.4048 0.1025 0.7089
0.7838 0.4048 0.7089
0.8975 0.2162 0.2911
0.2162 0.5952 0.2911
0.1025 0.7838 0.7089
0.5952 0.8975 0.2911
0.3330 0.3330 0.0009
0.6670 0.6670 0.9991
0.5222 0.2216 0.3745
0.8818 0.5222 0.3745
0.7784 0.1182 0.6255
0.4778 0.7784 0.6255
0.1182 0.4778 0.6255
0.2216 0.8818 0.3745
```

**SG**: R-3, No. 148
**Formation enthalpy at 0 K**: -635 meV per atom
**Offset from the most stable computed form**: 0.000 eV per atom

***

(2)
VASP calculation (PBE) on SmVFeP2 after structural relaxation.

```
SmVFeP2
1.0
-3.3142 0.9344 1.8449
-1.7613 -3.1016 -1.5932
3.9689 -1.7998 3.9055
Fe Sm P V
1 1 2 1
Direct
0.7500 0.2500 0.5000
0.0000 0.0000 0.0000
0.6301 0.6301 0.2603
0.3699 0.3699 0.7397
0.2500 0.7500 0.5000
```

**SG**: I-4m2, No. 119
**Formation enthalpy at 0 K**: -905 meV per atom